# 1
This record from the Alexandria database describes a relaxed structure of Cd2HgP2. The functional is PBE-GGA.

The structure in POSCAR format:
```
Cd2HgP2
1.0
8.444 0.000 0.000
0.000 8.444 0.000
0.000 0.000 2.958
P Hg Cd
4 2 4
Cartesian
2.953 7.175 0.000
7.175 5.491 0.000
5.491 1.269 0.000
1.269 2.953 0.000
0.000 0.000 0.000
4.222 4.222 0.000
1.242 5.464 1.479
5.464 7.202 1.479
7.202 2.980 1.479
2.980 1.242 1.479
```

Summary:
ΔE_f (eV per formula unit): 1.62
Uncorrected energy (eV/atom): -2.2666

# 2
This record from the Alexandria database describes a relaxed structure of Cd2HgP. The functional is PBE-GGA.

The structure in POSCAR format:
```
Cd2HgP
1.0
-4.922 4.668 1.875
-6.647 1.611 1.662
-0.261 -0.135 4.047
Cd Hg P
2 1 1
Cartesian
-0.941 0.250 4.014
-3.151 1.646 1.888
-5.341 2.746 3.819
-8.575 4.439 5.702
```

Summary:
ΔE_f (eV per formula unit): 0.57
Uncorrected energy (eV/atom): -1.7421

# 3
This record from the Alexandria database describes a relaxed structure of CdHgP3. The functional is PBE-GGA.

The structure in POSCAR format:
```
CdHgP3
1.0
5.006 0.000 0.000
0.000 5.006 0.000
0.000 0.000 5.006
P Hg Cd
3 1 1
Cartesian
0.000 2.503 0.000
0.000 0.000 2.503
2.503 0.000 0.000
2.503 2.503 2.503
0.000 0.000 0.000
```

Summary:
ΔE_f (eV per formula unit): 6.45
Uncorrected energy (eV/atom): -2.1989